# Mg16Al12Tl

A relaxed Mg16Al12Tl crystal (PBE, Alexandria via LeMat-Bulk). Values from VASP.

Output
Relative energy among the computed polymorphs (eV per atom): 0.009
DFT formation energy (eV per atom): -0.011
Space group: I-43m
DFT total energy (eV/atom): -2.52

Cell and atoms, written as Quantum ESPRESSO input:
```
&SYSTEM
  ibrav = 0, nat = 29, ntyp = 3
/
ATOMIC_SPECIES
Mg 24.30 Mg.upf
Al 26.98 Al.upf
Tl 204.38 Tl.upf
ATOMIC_POSITIONS angstrom
Mg 1.570 -5.366 -2.503
Mg 1.098 0.310 6.019
Mg 5.973 -0.255 0.501
Al 2.695 -0.017 1.849
Mg 0.806 -2.524 1.726
Mg -3.587 -4.937 0.534
Al -1.964 -1.173 2.335
Mg 5.027 -3.317 -1.121
Mg 4.394 -2.459 1.881
Al -3.828 -5.696 3.582
Mg -1.996 -4.980 -2.686
Al 0.894 -6.017 2.369
Al 4.244 -6.368 -1.170
Al 3.178 -4.663 3.282
Mg -0.764 -2.030 4.918
Tl 0.000 0.000 0.000
Mg -0.487 -5.353 -0.070
Al 2.825 -1.572 -0.485
Al -1.836 -2.704 0.037
Mg 2.359 -1.985 4.287
Mg 4.750 0.006 3.868
Mg -3.783 -2.583 4.067
Mg 2.576 -4.594 0.370
Al 3.811 -1.168 6.637
Al 0.576 -2.905 -1.384
Mg -2.448 0.446 5.459
Mg -1.473 -4.257 2.754
Al 0.765 -4.462 4.703
Al 0.320 0.181 3.248
CELL_PARAMETERS angstrom
-3.048 -7.605 -4.102
9.122 -0.389 0.765
-3.738 0.681 8.337
```